Below is a geometry-optimized K2WO4 structure, with properties calculated at the PBE+U level.

## Properties
Calculated total energy (Ha/atom): -0.228
Crystal system: monoclinic
M_tot (μB/f.u.): 0.13
Distance to the lowest polymorph of the same formula (meV per atom): 34.8
V (A^3/atom): 22.0

```
data_K2WO4
_symmetry_space_group_name_H-M 'P 1 21/m 1'
_symmetry_Int_Tables_number 11
_cell_length_a 6.490
_cell_length_b 6.794
_cell_length_c 7.385
_cell_angle_alpha 90.00
_cell_angle_beta 109.26
_cell_angle_gamma 90.00
loop_
_symmetry_equiv_pos_as_xyz
'x,y,z'
'-x,-y,-z'
'-x,y+1/2,-z'
'x,-y+1/2,z'
loop_
_atom_site_label
_atom_site_fract_x
_atom_site_fract_y
_atom_site_fract_z
_atom_site_occupancy
K1 0.157 0.250 0.011 1
K2 0.292 0.250 0.565 1
W1 0.277 0.750 0.805 1
O1 0.098 0.535 0.751 1
O2 0.431 0.750 0.060 1
O3 0.468 0.750 0.672 1
```